{
  "formula": "Li2CoSiO4",
  "functional": "PBE+U",
  "state": "relaxed",
  "lattice_angstrom": [[10.6669, 0.0000, 0.0000], [0.0000, 6.2202, 0.0000], [0.0000, 0.0000, 4.9232]],
  "species": ["Li", "Li", "Li", "Li", "Li", "Li", "Li", "Li", "Co", "Co", "Co", "Co", "Si", "Si", "Si", "Si", "O", "O", "O", "O", "O", "O", "O", "O", "O", "O", "O", "O", "O", "O", "O", "O"],
  "frac_coords": [[0.0797, 0.2454, 0.9996], [0.1627, 0.0024, 0.5000], [0.3373, 0.5024, 0.0000], [0.4203, 0.7454, 0.4996], [0.5797, 0.2546, 0.9996], [0.6627, 0.4976, 0.5000], [0.8373, 0.9976, 0.0000], [0.9203, 0.7546, 0.4996], [0.1654, 0.4941, 0.5030], [0.3346, 0.9941, 0.0030], [0.6654, 0.0059, 0.5030], [0.8346, 0.5059, 0.0030], [0.0858, 0.7510, 0.0074], [0.4142, 0.2510, 0.5074], [0.5858, 0.7490, 0.0074], [0.9142, 0.2490, 0.5074], [0.0599, 0.2472, 0.3977], [0.0886, 0.7509, 0.3416], [0.1574, 0.9686, 0.8957], [0.1589, 0.5309, 0.9048], [0.3411, 0.0309, 0.4048], [0.3426, 0.4686, 0.3957], [0.4114, 0.2509, 0.8416], [0.4401, 0.7472, 0.8977], [0.5599, 0.2528, 0.3977], [0.5886, 0.7491, 0.3416], [0.6574, 0.5314, 0.8957], [0.6589, 0.9691, 0.9048], [0.8411, 0.4691, 0.4048], [0.8426, 0.0314, 0.3957], [0.9114, 0.2491, 0.8416], [0.9401, 0.7528, 0.8977]],
  "total_energy_ev_per_cell": -206.62,
  "m_tot_mub_per_cell": 11.999,
  "vol_a3_per_fu": 81.7,
  "sg": "Pna2_1"
}